Density functional theory data (PBE) for a geometry-optimized Bi6PtRhAu2 structure.

Structure (POSCAR):
```
Bi6PtRhAu2
1.0
7.536 0.000 -0.180
0.000 6.879 0.000
-0.182 0.000 9.976
Pt Bi Au Rh
2 12 4 2
Direct
0.000 0.500 0.500 Pt
0.500 0.000 0.000 Pt
0.681 0.333 0.580 Bi
0.653 0.360 0.917 Bi
0.181 0.167 0.080 Bi
0.678 0.977 0.254 Bi
0.319 0.667 0.420 Bi
0.819 0.833 0.920 Bi
0.822 0.477 0.246 Bi
0.178 0.523 0.754 Bi
0.347 0.640 0.083 Bi
0.847 0.860 0.583 Bi
0.153 0.140 0.417 Bi
0.322 0.023 0.746 Bi
0.041 0.824 0.208 Au
0.459 0.324 0.292 Au
0.541 0.676 0.708 Au
0.959 0.176 0.792 Au
0.000 0.500 0.000 Rh
0.500 0.000 0.500 Rh
```

The total energy is -4.428 eV per atom. The value obtained for the formation energy is -2.4 kcal/mol of atoms.